! K2ZnIn, optimized geometry, DFT GGA-PBEsol; values from VASP
&SYSTEM
  ibrav = 0, nat = 4, ntyp = 3
/
ATOMIC_SPECIES
K 39.10 K.upf
Zn 65.41 Zn.upf
In 114.82 In.upf
ATOMIC_POSITIONS crystal
K 0.245 0.245 0.245
K 0.755 0.755 0.755
Zn 0.500 0.500 0.000
In 0.000 0.000 0.500
CELL_PARAMETERS angstrom
5.711 -1.684 0.000
5.711 1.684 0.000
-0.832 0.000 7.009
! Calculated formation energy: 290 meV/atom
! Density: 3.2 g/cm3
! Crystal system: monoclinic
! N(E_F): 0.62 states/eV per atom